No. 1
The following is a PBE calculation of an optimized crystal structure of Nd2SeS, from the Open Quantum Materials Database.

a = 4.151 Å, b = 4.151 Å, c = 5.872 Å
α = 90.00°, β = 90.00°, γ = 90.00°
Fractional positions:
Nd 0.000 0.000 0.000
Nd 0.500 0.500 0.500
S 0.000 0.000 0.500
Se 0.500 0.500 0.000

Excess energy over the best structure of this formula in the dataset = 32 meV/atom

***

No. 2
The following is a PBE calculation of an optimized crystal structure of ErAsN2O, from the Open Quantum Materials Database.

a = 5.383 Å, b = 5.383 Å, c = 13.348 Å
α = 90.00°, β = 90.00°, γ = 120.00°
Fractional positions:
As 0.000 0.000 0.000
As 0.333 0.667 0.138
As 0.333 0.667 0.362
As 0.000 0.000 0.500
As 0.667 0.333 0.638
As 0.667 0.333 0.862
Er 0.667 0.333 0.118
Er 0.000 0.000 0.250
Er 0.667 0.333 0.382
Er 0.333 0.667 0.618
Er 0.000 0.000 0.750
Er 0.333 0.667 0.882
N 0.155 0.310 0.093
N 0.155 0.845 0.093
N 0.690 0.845 0.093
N 0.155 0.310 0.407
N 0.155 0.845 0.407
N 0.690 0.845 0.407
N 0.310 0.155 0.593
N 0.845 0.155 0.593
N 0.845 0.690 0.593
N 0.310 0.155 0.907
N 0.845 0.155 0.907
N 0.845 0.690 0.907
O 0.500 0.000 0.250
O 0.500 0.500 0.250
O 0.000 0.500 0.250
O 0.000 0.500 0.750
O 0.500 0.500 0.750
O 0.500 0.000 0.750

Final energy = -202.7 eV for the cell shown

***

No. 3
The following is a PBE calculation of an optimized crystal structure of Ag15As, from the Open Quantum Materials Database.

a = 5.002 Å, b = 35.052 Å, c = 5.009 Å
α = 90.00°, β = 109.36°, γ = 90.00°
Fractional positions:
Ag 0.000 0.220 0.000
Ag 0.500 0.265 0.000
Ag 0.000 0.308 0.000
Ag 0.500 0.351 0.000
Ag 0.000 0.394 0.000
Ag 0.500 0.436 0.000
Ag 0.000 0.479 0.000
Ag 0.500 0.521 0.000
Ag 0.000 0.564 0.000
Ag 0.500 0.606 0.000
Ag 0.000 0.649 0.000
Ag 0.500 0.692 0.000
Ag 0.000 0.735 0.000
Ag 0.500 0.780 0.000
Ag 0.000 0.180 0.500
Ag 0.500 0.220 0.500
Ag 0.000 0.266 0.500
Ag 0.500 0.308 0.500
Ag 0.000 0.351 0.500
Ag 0.500 0.394 0.500
Ag 0.000 0.436 0.500
Ag 0.500 0.479 0.500
Ag 0.000 0.521 0.500
Ag 0.500 0.564 0.500
Ag 0.000 0.606 0.500
Ag 0.500 0.649 0.500
Ag 0.000 0.692 0.500
Ag 0.500 0.734 0.500
Ag 0.000 0.780 0.500
Ag 0.500 0.820 0.500
As 0.500 0.186 0.000
As 0.000 0.814 0.000

Excess energy over the best structure of this formula in the dataset = 10 meV/atom

***

No. 4
The following is a PBE calculation of an optimized crystal structure of TbSmNO, from the Open Quantum Materials Database.

a = 4.041 Å, b = 4.960 Å, c = 6.971 Å
α = 90.00°, β = 90.00°, γ = 90.00°
Fractional positions:
N 0.000 0.938 0.341
N 0.000 0.438 0.659
O 0.500 0.439 0.183
O 0.500 0.939 0.817
Sm 0.500 0.938 0.165
Sm 0.500 0.438 0.835
Tb 0.000 0.438 0.333
Tb 0.000 0.938 0.667

Excess energy over the best structure of this formula in the dataset = 0 meV/atom

***

No. 5
The following is a PBE calculation of an optimized crystal structure of LuFeCoSb, from the Open Quantum Materials Database.

a = 4.456 Å, b = 4.456 Å, c = 4.456 Å
α = 60.00°, β = 60.00°, γ = 60.00°
Fractional positions:
Co 0.750 0.750 0.750
Fe 0.250 0.250 0.250
Lu 0.500 0.500 0.500
Sb 0.000 0.000 0.000

Excess energy over the best structure of this formula in the dataset = 0 meV/atom

***

No. 6
The following is a PBE calculation of an optimized crystal structure of Ba2LaTaCd2O8, from the Open Quantum Materials Database.

a = 4.199 Å, b = 4.199 Å, c = 12.060 Å
α = 90.00°, β = 90.00°, γ = 90.00°
Fractional positions:
Ba 0.000 0.000 0.190
Ba 0.000 0.000 0.810
Cd 0.500 0.500 0.348
Cd 0.500 0.500 0.652
La 0.000 0.000 0.500
O 0.500 0.000 0.000
O 0.000 0.500 0.000
O 0.500 0.500 0.160
O 0.500 0.000 0.376
O 0.000 0.500 0.376
O 0.500 0.000 0.624
O 0.000 0.500 0.624
O 0.500 0.500 0.840
Ta 0.500 0.500 0.000

Final energy = -95.2 eV for the cell shown

***

No. 7
The following is a PBE calculation of an optimized crystal structure of LiLaSiPd, from the Open Quantum Materials Database.

a = 4.736 Å, b = 4.736 Å, c = 4.736 Å
α = 60.00°, β = 60.00°, γ = 60.00°
Fractional positions:
La 0.500 0.500 0.500
Li 0.750 0.750 0.750
Pd 0.250 0.250 0.250
Si 0.000 0.000 0.000

Excess energy over the best structure of this formula in the dataset = 0 meV/atom

***

No. 8
The following is a PBE calculation of an optimized crystal structure of Y2GaCoIr, from the Open Quantum Materials Database.

a = 5.468 Å, b = 5.468 Å, c = 5.468 Å
α = 135.76°, β = 79.00°, γ = 118.32°
Fractional positions:
Co 0.266 0.766 0.500
Ga 0.015 0.015 0.000
Ir 0.715 0.215 0.500
Y 0.706 0.502 0.205
Y 0.297 0.502 0.795

Final energy = -35.1 eV for the cell shown

***

Question: Number 4 is which compound?
Answer: TbSmNO